A plane-wave DFT calculation with PBE was carried out for a geometry-optimized CsMg3As structure.

The structure in POSCAR format:
```
CsMg3As
1.0
5.562 0.000 0.000
0.000 5.562 0.000
0.000 0.000 5.562
Mg As Cs
3 1 1
Direct
0.000 0.000 0.500
0.000 0.500 0.000
0.500 0.000 0.000
0.000 0.000 0.000
0.500 0.500 0.500
```

Properties
D(E_F)	0.4752	states/eV/atom
ΔE to the lowest computed polymorph	0.000	eV per atom
energy of formation	0.19	eV per atom

=====

A plane-wave DFT calculation with PBE was carried out for a geometry-optimized CsMgAs structure.

The structure in POSCAR format:
```
CsMgAs
1.0
8.674 0.000 0.000
0.000 4.624 0.000
0.000 0.000 11.494
Mg Cs As
4 4 4
Direct
0.105 0.750 0.510
0.605 0.750 0.990
0.895 0.250 0.490
0.395 0.250 0.010
0.508 0.750 0.320
0.492 0.250 0.680
0.992 0.250 0.820
0.008 0.750 0.180
0.195 0.250 0.430
0.805 0.750 0.570
0.695 0.250 0.070
0.305 0.750 0.930
```

Properties
D(E_F)	0.0000	states/eV/atom
energy of formation	-0.52	eV per atom

=====

A plane-wave DFT calculation with PBE was carried out for a geometry-optimized Cs2MgAs structure.

The structure in POSCAR format:
```
Cs2MgAs
1.0
5.265 0.000 0.000
0.000 5.265 0.000
2.632 2.632 12.447
Mg Cs As
2 4 2
Direct
0.500 0.500 0.000
0.250 0.750 0.500
0.375 0.370 0.750
0.120 0.625 0.250
0.875 0.880 0.750
0.630 0.125 0.250
0.750 0.250 0.500
0.000 0.000 0.000
```

Properties
D(E_F)	0.5178	states/eV/atom
energy of formation	0.33	eV per atom

=====

A plane-wave DFT calculation with PBE was carried out for a geometry-optimized CsMgMn2As structure.

The structure in POSCAR format:
```
CsMgMn2As
1.0
5.126 0.000 0.000
0.000 5.731 0.000
0.000 0.000 5.126
Cs Mn Mg As
1 2 1 1
Direct
0.000 0.000 0.000
0.000 0.000 0.500
0.500 0.000 0.000
0.000 0.500 0.000
0.500 0.500 0.500
```

Properties
D(E_F)	0.9624	states/eV/atom
energy of formation	2.09	eV per atom

=====

Number 1: DFT total energy -1.86 eV per atom. Number 2: DFT total energy -2.89 eV per atom. Number 3: DFT total energy -1.66 eV per atom. Number 4: DFT total energy -3.00 eV per atom.